Material: SrMgNb
Method: DFT, GGA-PBE
State: relaxed

The value obtained for the total energy is -0.21422 Ry per atom. As for the energy relative to the lowest polymorph listed for this composition: 80.9 kJ per mole of atoms.

Lattice parameters (Å, degrees): 7.645 7.645 7.645 90.00 90.00 90.00
Space group F-43m (No. 216)
Inequivalent atoms, fractional coordinates:
1 Sr 0.000 0.000 0.000
2 Mg 0.250 0.250 0.750
3 Nb 0.250 0.250 0.250

Material: NbTlSe2O8
Method: DFT, GGA-PBE
State: relaxed

The value obtained for the total energy is -0.43562 Ry per atom.

Lattice parameters (Å, degrees): 5.6935 5.6935 7.2336 90.00 90.00 120.00
Space group P-3m1 (No. 164)
Inequivalent atoms, fractional coordinates:
1 Nb 0.0000 0.0000 0.0000
2 Tl 0.0000 0.0000 0.5000
3 Se 0.3333 0.6667 0.7619
4 O 0.1566 0.3132 0.8262
5 O 0.3333 0.6667 0.5351

Material: Cu7Ag3
Method: DFT, GGA-PBE
State: relaxed

The value obtained for the total energy is -0.24753 Ry per atom. For the formation energy, the calculation gives 81 meV per atom. As for the energy relative to the lowest polymorph listed for this composition: 3.5 kJ per mole of atoms.

Lattice parameters (Å, degrees): 18.535 2.745 5.470 90.00 98.40 90.00
Space group Cm (No. 8)
Inequivalent atoms, fractional coordinates:
1 Cu 0.000 0.000 0.000
2 Cu 0.002 0.000 0.473
3 Cu 0.098 0.500 0.291
4 Cu 0.206 0.000 0.584
5 Cu 0.315 0.500 0.402
6 Cu 0.409 0.000 0.203
7 Cu 0.415 0.000 0.683
8 Ag 0.099 0.500 0.782
9 Ag 0.207 0.000 0.110
10 Ag 0.313 0.500 0.885

Material: DySnAu
Method: DFT, GGA-PBE
State: relaxed

The value obtained for the total energy is -0.35130 Ry per atom.

Lattice parameters (Å, degrees): 4.6936 4.6936 7.4291 90.00 90.00 120.00
Space group P6_3mc (No. 186)
Inequivalent atoms, fractional coordinates:
1 Dy 0.0000 0.0000 0.0000
2 Sn 0.3333 0.6667 0.2257
3 Au 0.3333 0.6667 0.8272

Material: BaErAgTe2S
Method: DFT, GGA-PBE
State: relaxed

The value obtained for the total energy is -0.34150 Ry per atom.

Lattice parameters (Å, degrees): 4.393 14.938 10.761 90.00 90.00 90.00
Space group Cmcm (No. 63)
Inequivalent atoms, fractional coordinates:
1 Ba 0.000 0.230 0.250
2 Er 0.000 0.500 0.000
3 Ag 0.000 0.022 0.750
4 Te 0.000 0.141 0.551
5 S 0.000 0.431 0.750

Material: BaCdSnHg2
Method: DFT, GGA-PBE
State: relaxed

The value obtained for the total energy is -0.13670 Ry per atom.

Lattice parameters (Å, degrees): 4.795 4.795 12.817 90.00 90.00 90.00
Space group I-4m2 (No. 119)
Inequivalent atoms, fractional coordinates:
1 Ba 0.000 0.000 0.000
2 Cd 0.000 0.500 0.250
3 Sn 0.000 0.500 0.750
4 Hg 0.000 0.000 0.388

Material: YCuSn2
Method: DFT, GGA-PBE
State: relaxed

The value obtained for the total energy is -0.34093 Ry per atom.

Lattice parameters (Å, degrees): 7.233 7.233 7.233 90.00 90.00 90.00
Space group F-43m (No. 216)
Inequivalent atoms, fractional coordinates:
1 Y 0.000 0.000 0.000
2 Cu 0.250 0.250 0.250
3 Sn 0.000 0.000 0.500
4 Sn 0.250 0.250 0.750

Material: ErH3
Method: DFT, GGA-PBE
State: relaxed

The value obtained for the total energy is -0.31115 Ry per atom. As for the energy relative to the lowest polymorph listed for this composition: 4.1 kJ per mole of atoms.

Lattice parameters (Å, degrees): 5.4183 5.4183 3.4562 90.00 90.00 120.00
Space group P6_3/m (No. 176)
Inequivalent atoms, fractional coordinates:
1 Er 0.3333 0.6667 0.2500
2 H 0.0943 0.4109 0.7500

Material: Ho2TmZn3Cu3
Method: DFT, GGA-PBE
State: relaxed

The value obtained for the total energy is -0.25870 Ry per atom. For the formation energy, the calculation gives -345 meV per atom.

Lattice parameters (Å, degrees): 3.859 12.172 7.028 90.00 90.00 90.00
Space group Amm2 (No. 38)
Inequivalent atoms, fractional coordinates:
1 Ho 0.000 0.206 0.000
2 Tm 0.000 0.000 0.382
3 Zn 0.500 0.000 0.037
4 Zn 0.500 0.121 0.672
5 Cu 0.000 0.000 0.792
6 Cu 0.500 0.166 0.294

Material: Na4Mg2TlHg
Method: DFT, GGA-PBE
State: relaxed

The value obtained for the total energy is -0.10676 Ry per atom.

Lattice parameters (Å, degrees): 5.169 5.169 7.299 90.00 90.00 90.00
Space group P-4m2 (No. 115)
Inequivalent atoms, fractional coordinates:
1 Na 0.000 0.000 0.000
2 Na 0.000 0.500 0.246
3 Na 0.500 0.500 0.500
4 Mg 0.000 0.500 0.757
5 Tl 0.000 0.000 0.500
6 Hg 0.500 0.500 0.000

Material: Dy2HoAl3CuSi2
Method: DFT, GGA-PBE
State: relaxed

The value obtained for the total energy is -0.37000 Ry per atom.

Lattice parameters (Å, degrees): 4.168 11.953 6.905 90.00 90.00 90.00
Space group Amm2 (No. 38)
Inequivalent atoms, fractional coordinates:
1 Dy 0.000 0.203 0.000
2 Ho 0.000 0.000 0.609
3 Al 0.500 0.000 0.965
4 Al 0.500 0.119 0.322
5 Cu 0.000 0.000 0.204
6 Si 0.500 0.166 0.703

Material: ScTc2Ge2
Method: DFT, GGA-PBE
State: relaxed

The value obtained for the total energy is -0.55334 Ry per atom.

Lattice parameters (Å, degrees): 4.060 4.060 10.558 90.00 90.00 90.00
Space group I4/mmm (No. 139)
Inequivalent atoms, fractional coordinates:
1 Sc 0.000 0.000 0.000
2 Tc 0.000 0.500 0.250
3 Ge 0.000 0.000 0.385

Material: GdMgCuSe3
Method: DFT, GGA-PBE
State: relaxed

The value obtained for the total energy is -0.33220 Ry per atom. As for the energy relative to the lowest polymorph listed for this composition: 2.6 kJ per mole of atoms.

Lattice parameters (Å, degrees): 11.533 3.999 11.541 90.00 90.00 90.00
Space group Pnma (No. 62)
Inequivalent atoms, fractional coordinates:
1 Gd 0.029 0.250 0.181
2 Mg 0.153 0.250 0.512
3 Cu 0.250 0.250 0.787
4 Se 0.060 0.750 0.373
5 Se 0.102 0.250 0.932
6 Se 0.211 0.750 0.665

Material: MgScNbOs
Method: DFT, GGA-PBE
State: relaxed

The value obtained for the total energy is -0.54525 Ry per atom. As for the energy relative to the lowest polymorph listed for this composition: 2.3 kJ per mole of atoms.

Lattice parameters (Å, degrees): 6.502 6.502 6.502 90.00 90.00 90.00
Space group F-43m (No. 216)
Inequivalent atoms, fractional coordinates:
1 Mg 0.000 0.000 0.000
2 Sc 0.250 0.250 0.750
3 Nb 0.000 0.000 0.500
4 Os 0.250 0.250 0.250

Material: LiYCoSi
Method: DFT, GGA-PBE
State: relaxed

The value obtained for the total energy is -0.39847 Ry per atom. As for the energy relative to the lowest polymorph listed for this composition: 13.7 kJ per mole of atoms.

Lattice parameters (Å, degrees): 6.289 6.289 6.289 90.00 90.00 90.00
Space group F-43m (No. 216)
Inequivalent atoms, fractional coordinates:
1 Li 0.000 0.000 0.000
2 Y 0.250 0.250 0.250
3 Co 0.250 0.250 0.750
4 Si 0.000 0.000 0.500

Material: Nd2GaAu
Method: DFT, GGA-PBE
State: relaxed

The value obtained for the total energy is -0.33937 Ry per atom.

Lattice parameters (Å, degrees): 4.642 3.950 11.495 90.00 90.00 90.00
Space group Amm2 (No. 38)
Inequivalent atoms, fractional coordinates:
1 Nd 0.000 0.000 0.000
2 Nd 0.500 0.000 0.285
3 Ga 0.500 0.000 0.563
4 Au 0.000 0.000 0.720

Material: KZnFeS3
Method: DFT, GGA-PBE
State: relaxed

The value obtained for the total energy is -0.32553 Ry per atom. As for the energy relative to the lowest polymorph listed for this composition: 5.8 kJ per mole of atoms.

Lattice parameters (Å, degrees): 8.414 3.664 9.416 90.00 110.86 90.00
Space group P2_1/m (No. 11)
Inequivalent atoms, fractional coordinates:
1 K 0.216 0.250 0.227
2 Zn 0.360 0.750 0.895
3 Fe 0.098 0.250 0.609
4 S 0.123 0.250 0.847
5 S 0.188 0.750 0.514
6 S 0.481 0.750 0.165

Material: SmZrGa
Method: DFT, GGA-PBE
State: relaxed

The value obtained for the total energy is -0.34683 Ry per atom. As for the energy relative to the lowest polymorph listed for this composition: 75.4 kJ per mole of atoms.

Lattice parameters (Å, degrees): 6.957 6.957 6.957 90.00 90.00 90.00
Space group F-43m (No. 216)
Inequivalent atoms, fractional coordinates:
1 Sm 0.000 0.000 0.000
2 Zr 0.250 0.250 0.250
3 Ga 0.250 0.250 0.750

Material: B2W2N5
Method: DFT, GGA-PBE
State: relaxed

The value obtained for the total energy is -0.67172 Ry per atom. As for the energy relative to the lowest polymorph listed for this composition: 19.7 kJ per mole of atoms.

Lattice parameters (Å, degrees): 2.7330 2.7330 12.1463 90.00 90.00 120.00
Space group P-3m1 (No. 164)
Inequivalent atoms, fractional coordinates:
1 B 0.3333 0.6667 0.1302
2 W 0.3333 0.6667 0.6265
3 N 0.0000 0.0000 0.5000
4 N 0.3333 0.6667 0.2652
5 N 0.3333 0.6667 0.8944

Material: TbTmAlTe3
Method: DFT, GGA-PBE
State: relaxed

The value obtained for the total energy is -0.33793 Ry per atom. As for the energy relative to the lowest polymorph listed for this composition: 0.4 kJ per mole of atoms.

Lattice parameters (Å, degrees): 4.077 15.253 10.424 90.00 90.00 90.00
Space group Cmcm (No. 63)
Inequivalent atoms, fractional coordinates:
1 Tb 0.000 0.217 0.250
2 Tm 0.000 0.000 0.000
3 Al 0.000 0.477 0.750
4 Te 0.000 0.121 0.750
5 Te 0.000 0.349 0.545

Material: CsMg2Zn2As2P
Method: DFT, GGA-PBE
State: relaxed

The value obtained for the total energy is -0.23218 Ry per atom. As for the energy relative to the lowest polymorph listed for this composition: 0.2 kJ per mole of atoms.

Lattice parameters (Å, degrees): 4.291 4.291 10.741 90.00 90.00 90.00
Space group P-4m2 (No. 115)
Inequivalent atoms, fractional coordinates:
1 Cs 0.000 0.000 0.000
2 Mg 0.000 0.500 0.645
3 Zn 0.000 0.500 0.346
4 As 0.500 0.500 0.220
5 P 0.000 0.000 0.500

Material: Pr3Er3Te2Pd
Method: DFT, GGA-PBE
State: relaxed

The value obtained for the total energy is -0.38592 Ry per atom. As for the energy relative to the lowest polymorph listed for this composition: 0.0 kJ per mole of atoms.

Lattice parameters (Å, degrees): 4.072 14.745 8.518 90.00 90.00 90.00
Space group Amm2 (No. 38)
Inequivalent atoms, fractional coordinates:
1 Pr 0.000 0.000 0.000
2 Pr 0.000 0.203 0.610
3 Er 0.500 0.000 0.647
4 Er 0.500 0.120 0.286
5 Te 0.500 0.167 0.906
6 Pd 0.000 0.000 0.408

Material: NdHoPO
Method: DFT, GGA-PBE
State: relaxed

The value obtained for the total energy is -0.50641 Ry per atom. As for the energy relative to the lowest polymorph listed for this composition: 4.0 kJ per mole of atoms.

Lattice parameters (Å, degrees): 4.204 7.678 5.488 90.00 90.00 90.00
Space group Pmc2_1 (No. 26)
Inequivalent atoms, fractional coordinates:
1 Nd 0.000 0.134 0.000
2 Ho 0.500 0.294 0.489
3 P 0.500 0.356 0.989
4 O 0.000 0.179 0.477

Material: HoErMg2Au4
Method: DFT, GGA-PBE
State: relaxed

The value obtained for the total energy is -0.29031 Ry per atom.

Lattice parameters (Å, degrees): 4.916 6.750 4.910 90.00 90.00 90.00
Space group Pmm2 (No. 25)
Inequivalent atoms, fractional coordinates:
1 Ho 0.000 0.000 0.000
2 Er 0.500 0.500 0.482
3 Mg 0.000 0.500 0.993
4 Mg 0.500 0.000 0.489
5 Au 0.000 0.250 0.501
6 Au 0.500 0.252 0.981